#P
## Y2Se3O12 (GGA-PBEsol)

Data for an optimized crystal structure of Y2Se3O12.

Spin magnetization, Bohr magnetons per cell: 0.00

Cell: 7.0454 11.4298 11.1477 Å, 90.00 108.33 90.00°
Last column: nearest neighbours and their distance in Å.
Space group C2/c (No. 15)
Unique sites:
Y1 0.1740 0.1250 0.0926  8 O 2.25-2.50
Se1 0.0000 0.1329 0.7500  4 O 1.65-1.69
Se2 0.1669 0.3807 0.5762  4 O 1.65-1.70
O1 0.0078 0.0518 0.8786  1 Se 1.69
O2 0.0456 0.2997 0.9565  1 Se 1.70
O3 0.1233 0.1962 0.3939  1 Se 1.66
O4 0.1523 0.4666 0.4547  1 Se 1.65
O5 0.1830 0.4476 0.7116  1 Se 1.66
O6 0.2087 0.2093 0.7880  1 Se 1.65

#Q
## Y2Se3O12 (GGA-PBEsol)

Data for an optimized crystal structure of Y2Se3O12.

Spin magnetization, Bohr magnetons per cell: 0.00

Cell: 13.2035 9.6062 9.6900 Å, 90.00 90.00 90.00°
Last column: nearest neighbours and their distance in Å.
Space group Pbcn (No. 60)
Unique sites:
Y1 0.1187 0.2503 0.0380  6 O 2.20-2.24
Se1 0.0000 0.0302 0.7500  4 O 1.65
Se2 0.1468 0.3967 0.3834  4 O 1.65
O1 0.0318 0.3368 0.4145  1 Se 1.65
O2 0.0579 0.1302 0.8634  1 Se 1.65
O3 0.0863 0.0674 0.1733  1 Se 1.65
O4 0.1486 0.4325 0.9024  1 Se 1.65
O5 0.1807 0.3596 0.2234  1 Se 1.65
O6 0.2258 0.3245 0.4945  1 Se 1.65

Best to worst by energy: #Q, #P.

#P
## V2SiO4 (GGA-PBEsol)

Data for an optimized crystal structure of V2SiO4.

Spin magnetization, Bohr magnetons per cell: 0.00

Cell: 8.0409 8.0409 8.0409 Å, 90.00 90.00 90.00°
Last column: nearest neighbours and their distance in Å.
Space group Fd-3m (No. 227, origin choice 2)
Unique sites:
V1 0.0000 0.0000 0.0000  6 O 2.08
Si1 0.1250 0.1250 0.6250  4 O 1.63
O1 0.0078 0.0078 0.7422  1 Si 1.63

#Q
## V2SiO4 (GGA-PBEsol)

Data for an optimized crystal structure of V2SiO4.

Spin magnetization, Bohr magnetons per cell: 23.89

Cell: 10.4325 6.1069 4.7429 Å, 90.00 90.00 90.00°
Last column: nearest neighbours and their distance in Å.
Space group Pnma (No. 62)
Unique sites:
V1 0.0000 0.0000 0.0000  6 O 2.12-2.16
V2 0.2243 0.2500 0.4950  6 O 2.09-2.21
Si1 0.0977 0.7500 0.4299  4 O 1.63-1.67
O1 0.0494 0.2500 0.7096  1 Si 1.67
O2 0.0969 0.7500 0.7738  1 Si 1.63
O3 0.1634 0.5334 0.2757  1 Si 1.66

Best to worst by energy: #P, #Q.

#P
## VSi2O6 (GGA-PBEsol)

Data for an optimized crystal structure of VSi2O6.

Spin magnetization, Bohr magnetons per cell: 8.00

Cell: 5.2941 17.7787 8.6548 Å, 90.00 90.00 90.00°
Last column: nearest neighbours and their distance in Å.
Space group Pbca (No. 61)
Unique sites:
V1 0.1077 0.1261 0.1489  4 O 1.81-1.97
Si1 0.0545 0.7247 0.6635  4 O 1.62-1.67
Si2 0.2068 0.0239 0.8356  4 O 1.61-1.66
O1 0.0156 0.6943 0.4882  1 Si 1.62
O2 0.0419 0.5549 0.7517  2 Si 1.61-1.62
O3 0.0736 0.6819 0.1784  1 Si 1.67
O4 0.1821 0.1947 0.7351  2 Si 1.62
O5 0.2044 0.5693 0.3174  1 Si 1.66
O6 0.2098 0.0551 0.0121  1 Si 1.62, 1 V 1.81

#Q
## VSi2O6 (GGA-PBEsol)

Data for an optimized crystal structure of VSi2O6.

Spin magnetization, Bohr magnetons per cell: 4.00

Cell: 9.5057 8.6414 5.3187 Å, 90.00 110.08 90.00°
Last column: nearest neighbours and their distance in Å.
Space group C2/c (No. 15)
Unique sites:
V1 0.0000 0.1006 0.2500  4 O 1.81-1.95
Si1 0.2015 0.4145 0.2539  4 O 1.62-1.67
O1 0.1125 0.0689 0.6300  1 Si 1.67
O2 0.1402 0.2378 0.2297  1 Si 1.62, 1 V 1.81
O3 0.1411 0.4890 0.9573  2 Si 1.62

Best to worst by energy: #Q, #P.